Entry 1:
This record from the Alexandria database describes a relaxed PrTlAuS2 crystal. The functional is PBE-GGA.

abc: 5.644 6.276 8.149
angles: 104.59 90.00 90.00
Fractional coordinates of all 10 atoms:
Tl 0.169 0.500 0.750
Tl 0.831 0.500 0.250
Pr 0.499 0.000 0.750
Pr 0.501 0.000 0.250
S 0.692 0.734 0.948
S 0.308 0.734 0.448
S 0.308 0.266 0.052
S 0.692 0.266 0.552
Au 0.000 0.000 0.500
Au 0.000 0.000 0.000

## Properties
ΔE_f (raw): -82 kJ per mole of atoms
SG: P2/c, No. 13
Calculated volume: 27.9 Å³/atom
D(E_F): 1.94 states/eV/f.u.


Entry 2:
This record from the Alexandria database describes a relaxed NiBiRh3 crystal. The functional is PBE-GGA.

abc: 4.943 4.943 4.943
angles: 90.00 90.00 90.00
Fractional coordinates of all 5 atoms:
Ni 0.500 0.500 0.500
Bi 0.000 0.000 0.000
Rh 0.000 0.500 0.000
Rh 0.500 0.000 0.000
Rh 0.000 0.000 0.500

## Properties
SG: Pm-3m, No. 221
Energy above the most stable polymorph in this dataset: 873 meV per atom
Calculated volume: 24.2 Å³/atom
D(E_F): 8.75 states/eV/f.u.


Entry 3:
This record from the Alexandria database describes a relaxed LaW crystal. The functional is PBE-GGA.

abc: 7.486 5.295 9.811
angles: 90.00 90.00 90.00
Fractional coordinates of all 16 atoms:
W 0.957 0.250 0.086
W 0.355 0.750 0.825
W 0.645 0.250 0.175
W 0.855 0.750 0.675
W 0.145 0.250 0.325
W 0.543 0.750 0.586
W 0.457 0.250 0.414
W 0.043 0.750 0.914
La 0.178 0.750 0.524
La 0.308 0.750 0.208
La 0.322 0.250 0.024
La 0.692 0.250 0.792
La 0.678 0.750 0.976
La 0.192 0.250 0.708
La 0.808 0.750 0.292
La 0.822 0.250 0.476

## Properties
SG: Pnma, No. 62
Energy above the most stable polymorph in this dataset: 267 meV per atom
Calculated volume: 24.3 Å³/atom
D(E_F): 2.14 states/eV/f.u.


Entry 4:
This record from the Alexandria database describes a relaxed CoCu2Au crystal. The functional is PBE-GGA.

abc: 4.586 4.586 4.640
angles: 80.13 80.13 34.09
Fractional coordinates of all 4 atoms:
Cu 0.746 0.746 0.767
Cu 0.998 0.998 0.000
Co 0.254 0.254 0.238
Au 0.502 0.502 0.496

## Properties
SG: Cm, No. 8
Calculated volume: 13.5 Å³/atom
D(E_F): 4.29 states/eV/f.u.
Total energy: -4.474 eV/atom


Entry 5:
This record from the Alexandria database describes a relaxed CaGaGe2 crystal. The functional is PBE-GGA.

abc: 4.272 4.390 4.390
angles: 90.00 90.00 90.00
Fractional coordinates of all 4 atoms:
Ge 0.000 0.000 0.500
Ge 0.000 0.500 0.000
Ca 0.500 0.000 0.000
Ga 0.500 0.500 0.500

## Properties
SG: P4/mmm, No. 123
Calculated volume: 20.6 Å³/atom
D(E_F): 2.12 states/eV/f.u.
Total energy: -3.828 eV/atom


Entry 6:
This record from the Alexandria database describes a relaxed Li3AlHg crystal. The functional is PBE-GGA.

abc: 4.588 5.346 7.167
angles: 76.82 90.00 90.00
Fractional coordinates of all 10 atoms:
Li 0.624 0.602 0.991
Li 0.624 0.814 0.586
Li 0.124 0.285 0.062
Li 0.124 0.496 0.656
Li 0.124 0.106 0.466
Li 0.624 0.992 0.181
Hg 0.624 0.232 0.779
Hg 0.124 0.867 0.868
Al 0.624 0.414 0.381
Al 0.124 0.684 0.267

## Properties
SG: P2_1/m, No. 11
Energy above the most stable polymorph in this dataset: 0 meV per atom
Calculated volume: 17.1 Å³/atom
D(E_F): 1.84 states/eV/f.u.


Entry 7:
This record from the Alexandria database describes a relaxed SrCdAgS2 crystal. The functional is PBE-GGA.

abc: 5.182 5.023 5.182
angles: 90.00 90.00 90.00
Fractional coordinates of all 5 atoms:
S 0.000 0.000 0.500
S 0.500 0.000 0.000
Cd 0.000 0.000 0.000
Sr 0.500 0.500 0.500
Ag 0.000 0.500 0.000

## Properties
ΔE_f (raw): -34 kJ per mole of atoms
SG: P4/mmm, No. 123
Calculated volume: 27.0 Å³/atom
D(E_F): 2.84 states/eV/f.u.


Entry 8:
This record from the Alexandria database describes a relaxed ZrBr3 crystal. The functional is PBE-GGA.

abc: 5.618 5.618 3.610
angles: 90.00 90.00 119.13
Fractional coordinates of all 4 atoms:
Br 0.000 0.500 0.500
Br 0.500 0.000 0.500
Br 0.500 0.500 0.000
Zr 0.000 0.000 0.000

## Properties
ΔE_f (raw): -16 kJ per mole of atoms
SG: Cmmm, No. 65
Calculated volume: 24.9 Å³/atom
D(E_F): 3.96 states/eV/f.u.


Entry 9:
This record from the Alexandria database describes a relaxed CsNaPmI5 crystal. The functional is PBE-GGA.

abc: 9.020 9.020 12.001
angles: 102.29 102.29 109.62
Fractional coordinates of all 16 atoms:
I 0.639 0.748 0.935
I 0.706 0.099 0.417
I 0.099 0.706 0.917
I 0.361 0.252 0.065
I 0.748 0.639 0.435
I 0.936 0.064 0.750
I 0.252 0.361 0.565
I 0.294 0.901 0.583
I 0.901 0.294 0.083
I 0.064 0.936 0.250
Na 0.689 0.311 0.250
Na 0.311 0.689 0.750
Pm 0.000 0.000 0.500
Pm 0.000 0.000 0.000
Cs 0.662 0.338 0.750
Cs 0.338 0.662 0.250

## Properties
ΔE_f (raw): -135 kJ per mole of atoms
SG: C2/c, No. 15
Calculated volume: 53.4 Å³/atom
D(E_F): 0.00 states/eV/f.u.


Entry 10:
This record from the Alexandria database describes a relaxed Cs3LaO3 crystal. The functional is PBE-GGA.

abc: 7.787 8.302 12.873
angles: 93.73 90.00 90.00
Fractional coordinates of all 28 atoms:
O 0.537 0.713 0.293
O 0.453 0.121 0.415
O 0.047 0.121 0.915
O 0.037 0.287 0.207
O 0.463 0.287 0.707
O 0.130 0.740 0.426
O 0.630 0.260 0.074
O 0.547 0.879 0.585
O 0.370 0.740 0.926
O 0.953 0.879 0.085
O 0.963 0.713 0.793
O 0.870 0.260 0.574
Cs 0.173 0.609 0.193
Cs 0.862 0.926 0.329
Cs 0.145 0.342 0.425
Cs 0.673 0.391 0.307
Cs 0.138 0.074 0.671
Cs 0.362 0.074 0.171
Cs 0.638 0.926 0.829
Cs 0.355 0.342 0.925
Cs 0.855 0.658 0.575
Cs 0.827 0.391 0.807
Cs 0.327 0.609 0.693
Cs 0.645 0.658 0.075
La 0.897 0.159 0.075
La 0.603 0.159 0.575
La 0.103 0.841 0.925
La 0.397 0.841 0.425

## Properties
ΔE_f (raw): -181 kJ per mole of atoms
SG: P2_1/c, No. 14
Energy above the most stable polymorph in this dataset: 0 meV per atom
Calculated volume: 29.7 Å³/atom
D(E_F): 0.00 states/eV/f.u.


Entry 11:
This record from the Alexandria database describes a relaxed Ac3La2CeP6 crystal. The functional is PBE-GGA.

abc: 7.498 7.498 7.508
angles: 99.59 99.59 119.98
Fractional coordinates of all 12 atoms:
P 0.596 0.922 0.765
P 0.078 0.404 0.235
P 0.922 0.596 0.765
P 0.404 0.078 0.235
P 0.247 0.247 0.764
P 0.753 0.753 0.236
Ac 0.832 0.168 0.500
Ac 0.168 0.832 0.500
Ac 0.500 0.500 0.500
Ce 0.000 0.000 0.000
La 0.666 0.334 0.000
La 0.334 0.666 0.000

## Properties
SG: C2/m, No. 12
Calculated volume: 28.7 Å³/atom
D(E_F): 5.54 states/eV/f.u.
Total energy: -6.545 eV/atom


Entry 12:
This record from the Alexandria database describes a relaxed Pr3Zr2PaAs6 crystal. The functional is PBE-GGA.

abc: 7.095 7.095 7.200
angles: 99.47 99.47 120.00
Fractional coordinates of all 12 atoms:
As 0.924 0.586 0.772
As 0.586 0.924 0.772
As 0.263 0.263 0.776
As 0.076 0.414 0.228
As 0.414 0.076 0.228
As 0.737 0.737 0.224
Zr 0.333 0.667 0.000
Zr 0.667 0.333 0.000
Pr 0.835 0.165 0.500
Pr 0.165 0.835 0.500
Pr 0.500 0.500 0.500
Pa 0.000 0.000 0.000

## Properties
SG: C2/m, No. 12
Calculated volume: 24.7 Å³/atom
D(E_F): 7.67 states/eV/f.u.
Total energy: -7.027 eV/atom